# 1
NdHo4Tl2 | PBE | relaxed

The energy above the most stable polymorph in this dataset comes out at 0.000 eV/atom. The calculation puts the total energy at -57.29 eV per cell.

Lattice parameters (Å, degrees): 9.3977 9.3977 4.9521 90.00 90.00 90.00
Space group P4_2/mnm (No. 136)
Symmetry-distinct sites (fractional):
Nd1 0.0000 0.0000 0.0000
Ho1 0.1073 0.3560 0.5000
Tl1 0.1840 0.8160 0.5000

---

# 2
Nd3Ho2Tl4 | PBE | relaxed

The energy above the most stable polymorph in this dataset comes out at 0.000 eV/atom. The calculation puts the total energy at -35.62 eV per cell.

Lattice parameters (Å, degrees): 5.3899 5.3899 10.5236 90.00 90.00 120.00
Space group P-3m1 (No. 164)
Symmetry-distinct sites (fractional):
Nd1 0.0000 0.0000 0.0000
Nd2 0.3333 0.6667 0.4206
Ho1 0.3333 0.6667 0.7789
Tl1 0.0000 0.0000 0.3423
Tl2 0.3333 0.6667 0.1016

---

# 3
NdHo8Tl2 | PBE | relaxed

The calculation puts the total energy at -92.08 eV per cell.

Lattice parameters (Å, degrees): 18.8053 6.8397 5.3248 90.00 93.58 90.00
Space group C2/m (No. 12)
Symmetry-distinct sites (fractional):
Nd1 0.0000 0.0000 0.0000
Ho1 0.0478 0.5000 0.2384
Ho2 0.1316 0.2587 0.7284
Ho3 0.1987 0.0000 0.2350
Tl1 0.2135 0.5000 0.2442

---

Number 1: energy relative to the elements -0.12 eV per atom. Number 2: energy relative to the elements -0.30 eV per atom. Number 3: energy relative to the elements 0.01 eV per atom.